1.
DFT (GGA-PBE) results for a relaxed NpTi2Bi crystal.

a b c (Å): 4.6335 4.6335 3.8107
angles (deg): 90.00 90.00 90.00
Last column: nearest neighbours and their distance in Å.
Fractional positions:
Np (0.0000, 0.0000, 0.0000)  8 Ti 3.00, 4 Bi 3.28
Ti (0.0000, 0.5000, 0.5000)  4 Bi 3.00, 4 Np 3.00, 4 Ti 3.28
Ti (0.5000, 0.0000, 0.5000)  4 Bi 3.00, 4 Np 3.00, 4 Ti 3.28
Bi (0.5000, 0.5000, 0.0000)  8 Ti 3.00, 4 Np 3.28

Calculated values
Calculated volume in Å³/cell: 82
Energy in eV/atom: -8.047
ΔH_f (0 K) in kcal/mol of atoms: 2.45
Mass density in g/cm3: 11.0
Space-group type: No. 123


2.
DFT (GGA-PBE) results for a relaxed PmHo4Sc7 crystal.

a b c (Å): 6.3247 6.3247 12.0917
angles (deg): 113.90 113.90 52.09
Last column: nearest neighbours and their distance in Å.
Fractional positions:
Pm (0.0000, 0.0000, 0.0000)  4 Sc 2.78-3.00
Ho (0.1403, 0.1403, 0.7744)  7 Sc 3.18-3.45
Ho (0.4114, 0.4114, 0.6975)  6 Sc 3.10-3.44
Ho (0.5886, 0.5886, 0.3025)  6 Sc 3.10-3.44
Ho (0.8597, 0.8597, 0.2256)  7 Sc 3.18-3.45
Sc (0.1264, 0.1264, 0.4838)  4 Sc 3.07-3.20, 2 Ho 3.10-3.22
Sc (0.2915, 0.2915, 0.0826)  3 Sc 2.96-3.30, 1 Pm 3.00, 3 Ho 3.18-3.22
Sc (0.3364, 0.3364, 0.3752)  4 Sc 3.19-3.34, 3 Ho 3.36-3.39
Sc (0.5000, 0.5000, 0.0000)  2 Pm 2.78, 2 Sc 2.96
Sc (0.6636, 0.6636, 0.6248)  4 Sc 3.19-3.34, 3 Ho 3.36-3.39
Sc (0.7085, 0.7085, 0.9174)  3 Sc 2.96-3.30, 1 Pm 3.00, 3 Ho 3.18-3.22
Sc (0.8736, 0.8736, 0.5162)  4 Sc 3.07-3.20, 2 Ho 3.10-3.22

Calculated values
Calculated volume in Å³/cell: 341
Energy in eV/atom: -5.347
ΔH_f (0 K) in kcal/mol of atoms: 6.18
Mass density in g/cm3: 5.5
Space-group type: No. 12


3.
DFT (GGA-PBE) results for a relaxed Y2Cu2Ge crystal.

a b c (Å): 5.5036 5.5036 7.0775
angles (deg): 90.00 90.00 90.00
Last column: nearest neighbours and their distance in Å.
Fractional positions:
Y (0.0000, 0.5000, 0.2500)  4 Cu 2.83
Y (0.0000, 0.5000, 0.7500)  4 Cu 2.83
Y (0.5000, 0.0000, 0.2500)  4 Cu 2.83
Y (0.5000, 0.0000, 0.7500)  4 Cu 2.83
Cu (0.0000, 0.0000, 0.1568)  1 Cu 2.22, 1 Ge 2.43
Cu (0.0000, 0.0000, 0.8432)  1 Cu 2.22, 1 Ge 2.43
Cu (0.5000, 0.5000, 0.3432)  1 Cu 2.22, 1 Ge 2.43
Cu (0.5000, 0.5000, 0.6568)  1 Cu 2.22, 1 Ge 2.43
Ge (0.0000, 0.0000, 0.5000)  2 Cu 2.43
Ge (0.5000, 0.5000, 0.0000)  2 Cu 2.43

Calculated values
Calculated volume in Å³/cell: 214
Energy in eV/atom: -5.308
Energy relative to the lowest polymorph listed for this composition in meV per atom: 242
ΔH_f (0 K) in kcal/mol of atoms: -3.69
Mass density in g/cm3: 5.8
Space-group type: No. 139


4.
DFT (GGA-PBE) results for a relaxed GaAsAuBr2 crystal.

a b c (Å): 4.9865 4.9865 5.3995
angles (deg): 90.00 90.00 90.00
Last column: nearest neighbours and their distance in Å.
Fractional positions:
Ga (0.0000, 0.0000, 0.0000)  4 Br 2.49, 2 As 2.70
As (0.0000, 0.0000, 0.5000)  2 Ga 2.70
Au (0.5000, 0.5000, 0.5000)  4 As 3.53, 8 Br 3.67
Br (0.0000, 0.5000, 0.0000)  2 Ga 2.49
Br (0.5000, 0.0000, 0.0000)  2 Ga 2.49

Calculated values
E_form (uncorrected) in meV/atom: 410
Calculated volume in Å³/cell: 134
Energy in eV/atom: -2.450
Energy relative to the lowest polymorph listed for this composition in meV per atom: 176
Mass density in g/cm3: 6.2
Space-group type: No. 123


5.
DFT (GGA-PBE) results for a relaxed Hf8TaSn2 crystal.

a b c (Å): 7.8055 7.8055 5.2623
angles (deg): 102.13 102.13 120.74
Last column: nearest neighbours and their distance in Å.
Fractional positions:
Hf (0.0998, 0.3151, 0.6535)  5 Hf 2.91-3.20, 2 Sn 2.96-3.02, 1 Ta 3.24
Hf (0.2085, 0.7915, 0.0000)  1 Ta 2.83, 2 Sn 2.93
Hf (0.3151, 0.0998, 0.6535)  5 Hf 2.91-3.20, 2 Sn 2.96-3.02, 1 Ta 3.24
Hf (0.3950, 0.3950, 0.2010)  1 Ta 2.77, 3 Hf 2.86-3.00, 2 Sn 3.04
Hf (0.6050, 0.6050, 0.7990)  1 Ta 2.77, 3 Hf 2.86-3.00, 2 Sn 3.04
Hf (0.6849, 0.9002, 0.3465)  5 Hf 2.91-3.20, 2 Sn 2.96-3.02, 1 Ta 3.24
Hf (0.7915, 0.2085, 0.0000)  1 Ta 2.83, 2 Sn 2.93
Hf (0.9002, 0.6849, 0.3465)  5 Hf 2.91-3.20, 2 Sn 2.96-3.02, 1 Ta 3.24
Ta (0.0000, 0.0000, 0.0000)  4 Hf 2.77-2.83
Sn (0.3027, 0.6973, 0.5000)  8 Hf 2.93-3.04
Sn (0.6973, 0.3027, 0.5000)  8 Hf 2.93-3.04

Calculated values
Calculated volume in Å³/cell: 249
Energy in eV/atom: -9.010
ΔH_f (0 K) in kcal/mol of atoms: 0.79
Mass density in g/cm3: 12.3
Space-group type: No. 12


6.
DFT (GGA-PBE) results for a relaxed Nd9Ho2Tl crystal.

a b c (Å): 5.0678 5.0678 15.5222
angles (deg): 90.00 90.00 90.00
Last column: nearest neighbours and their distance in Å.
Fractional positions:
Nd (0.0000, 0.0000, 0.0000)  8 Nd 3.58, 4 Tl 3.58
Nd (0.0000, 0.0000, 0.3309)  4 Ho 3.58, 8 Nd 3.64-3.65
Nd (0.0000, 0.0000, 0.6691)  4 Ho 3.58, 8 Nd 3.64-3.65
Nd (0.0000, 0.5000, 0.1625)  2 Tl 3.58, 8 Nd 3.58-3.64, 2 Ho 3.65
Nd (0.0000, 0.5000, 0.5000)  8 Nd 3.58-3.65, 4 Ho 3.64
Nd (0.0000, 0.5000, 0.8375)  2 Tl 3.58, 8 Nd 3.58-3.64, 2 Ho 3.65
Nd (0.5000, 0.0000, 0.1625)  2 Tl 3.58, 8 Nd 3.58-3.64, 2 Ho 3.65
Nd (0.5000, 0.0000, 0.5000)  8 Nd 3.58-3.65, 4 Ho 3.64
Nd (0.5000, 0.0000, 0.8375)  2 Tl 3.58, 8 Nd 3.58-3.64, 2 Ho 3.65
Ho (0.5000, 0.5000, 0.3320)  12 Nd 3.58-3.65
Ho (0.5000, 0.5000, 0.6680)  12 Nd 3.58-3.65
Tl (0.5000, 0.5000, 0.0000)  12 Nd 3.58

Calculated values
Calculated volume in Å³/cell: 399
Energy in eV/atom: -4.585
ΔH_f (0 K) in kcal/mol of atoms: -1.13
Mass density in g/cm3: 7.6
Space-group type: No. 123


Among the records above, which one has the lowest energy? Hf8TaSn2